Density functional theory data (PBE-GGA) for a relaxed ZnAg2P crystal.

abc: 8.7957 8.7957 8.7957
angles: 19.52 19.52 19.52
Fractional coordinates of all 4 atoms:
1 Zn 0.0000 0.0000 0.0000
2 Ag 0.2509 0.2509 0.2509
3 Ag 0.4926 0.4926 0.4926
4 P 0.7423 0.7423 0.7423

## Properties
Total moment, Bohr magnetons per cell: 0.000
Space group: R3m
Final energy, eV per atom: -2.918
Energy above the most stable polymorph in this dataset, meV per atom: 15
Volume, Å³/atom: 16.60
E_form, eV/f.u.: 0.72